## SmSiGePd2 (PBE)

Data for an optimized crystal structure of SmSiGePd2.

Properties
The mass density is 8.42 Mg/m³. For the calculated total energy, the calculation gives -5.915 eV/atom.

Cell: 5.891 5.891 5.891 Å, 137.71 137.71 61.34°
Positions (direct):
Sm 0.000 0.000 0.000
Si 0.377 0.377 0.000
Ge 0.615 0.615 0.000
Pd 0.256 0.756 0.500
Pd 0.756 0.256 0.500